Entry 1:
## ZrGa (PBE)

Data for a geometry-optimized ZrGa structure.

Unit cell a=5.0627 b=12.0962 c=5.1231 alpha=90.00 beta=90.00 gamma=90.00
Closest atoms and distances in Å follow each position.
Element x y z (fractional)
Zr  0.2500  0.0006  0.1982  6 Ga 2.93-3.03, 6 Zr 2.97-3.25
Zr  0.2500  0.4994  0.1982  6 Ga 2.93-3.03, 6 Zr 2.97-3.25
Zr  0.2500  0.6340  0.7122  5 Zr 2.81-3.10, 5 Ga 2.91-3.10
Zr  0.2500  0.8660  0.7122  5 Zr 2.81-3.10, 5 Ga 2.91-3.10
Zr  0.7500  0.1340  0.2878  5 Zr 2.81-3.10, 5 Ga 2.91-3.10
Zr  0.7500  0.3660  0.2878  5 Zr 2.81-3.10, 5 Ga 2.91-3.10
Zr  0.7500  0.5006  0.8018  6 Ga 2.93-3.03, 6 Zr 2.97-3.25
Zr  0.7500  0.9994  0.8018  6 Ga 2.93-3.03, 6 Zr 2.97-3.25
Ga  0.2500  0.1219  0.6940  7 Zr 2.93-3.28, 5 Ga 2.99-3.10
Ga  0.2500  0.2500  0.1960  6 Zr 2.93-3.02, 6 Ga 2.99-3.28
Ga  0.2500  0.3781  0.6940  7 Zr 2.93-3.28, 5 Ga 2.99-3.10
Ga  0.2500  0.7500  0.2098  6 Zr 2.91-3.03, 4 Ga 3.01
Ga  0.7500  0.2500  0.7902  6 Zr 2.91-3.03, 4 Ga 3.01
Ga  0.7500  0.6219  0.3060  7 Zr 2.93-3.28, 5 Ga 2.99-3.10
Ga  0.7500  0.7500  0.8040  6 Zr 2.93-3.02, 6 Ga 2.99-3.28
Ga  0.7500  0.8781  0.3060  7 Zr 2.93-3.28, 5 Ga 2.99-3.10

## Properties
VASP energy ... -6.018 eV per atom

---

Entry 2:
## ZrGa (PBE)

Data for a geometry-optimized ZrGa structure.

Unit cell a=4.9143 b=8.2179 c=5.6865 alpha=90.00 beta=90.00 gamma=90.00
Closest atoms and distances in Å follow each position.
Element x y z (fractional)
Zr  0.0000  0.0011  0.0000  2 Zr 2.84, 6 Ga 2.90-3.11
Zr  0.0000  0.3587  0.2458  5 Ga 2.73-2.98
Zr  0.0000  0.6413  0.7458  5 Ga 2.73-2.98
Zr  0.0000  0.9989  0.5000  2 Zr 2.84, 6 Ga 2.90-3.11
Zr  0.5000  0.1917  0.7524  7 Ga 2.64-2.91
Zr  0.5000  0.8083  0.2524  7 Ga 2.64-2.91
Ga  0.0000  0.3089  0.7447  7 Zr 2.64-2.92
Ga  0.0000  0.6911  0.2447  7 Zr 2.64-2.92
Ga  0.5000  0.1531  0.2521  9 Zr 2.83-3.11, 1 Ga 3.17
Ga  0.5000  0.4990  0.4983  3 Ga 2.84-3.17, 6 Zr 2.90-3.07
Ga  0.5000  0.5010  0.9983  3 Ga 2.84-3.17, 6 Zr 2.90-3.07
Ga  0.5000  0.8469  0.7521  9 Zr 2.83-3.11, 1 Ga 3.17

## Properties
VASP energy ... -6.238 eV per atom

---

Entry 3:
## Gd3Ge2 (PBE)

Data for a geometry-optimized Gd3Ge2 structure.

Unit cell a=7.6650 b=7.6650 c=4.2659 alpha=90.00 beta=90.00 gamma=90.00
Closest atoms and distances in Å follow each position.
Element x y z (fractional)
Gd  0.0000  0.0000  0.0000  4 Ge 3.04
Gd  0.1737  0.3263  0.5000  6 Ge 3.07-3.14
Gd  0.3263  0.8263  0.5000  6 Ge 3.07-3.14
Gd  0.5000  0.5000  0.0000  4 Ge 3.04
Gd  0.6737  0.1737  0.5000  6 Ge 3.07-3.14
Gd  0.8263  0.6737  0.5000  6 Ge 3.07-3.14
Ge  0.1227  0.6227  0.0000  1 Ge 2.66
Ge  0.3773  0.1227  0.0000  1 Ge 2.66
Ge  0.6227  0.8773  0.0000  1 Ge 2.66
Ge  0.8773  0.3773  0.0000  1 Ge 2.66

## Properties
VASP energy ... -5.413 eV per atom

---

Entry 4:
## GdGe2 (PBE)

Data for a geometry-optimized GdGe2 structure.

Unit cell a=8.6764 b=8.6764 c=8.6764 alpha=153.21 beta=153.21 gamma=38.26
Closest atoms and distances in Å follow each position.
Element x y z (fractional)
Gd  0.3750  0.6250  0.7500  12 Ge 3.12-3.45
Gd  0.6250  0.3750  0.2500  12 Ge 3.12-3.45
Ge  0.0463  0.7963  0.2500  3 Ge 2.52-2.58
Ge  0.2037  0.9537  0.2500  3 Ge 2.52-2.58
Ge  0.7963  0.0463  0.7500  3 Ge 2.52-2.58
Ge  0.9537  0.2037  0.7500  3 Ge 2.52-2.58

## Properties
VASP energy ... -5.186 eV per atom

---

Entry 5:
## Gd2Ge (PBE)

Data for a geometry-optimized Gd2Ge structure.

Unit cell a=6.1320 b=6.1320 c=6.1320 alpha=60.00 beta=60.00 gamma=60.00
Closest atoms and distances in Å follow each position.
Element x y z (fractional)
Gd  0.0000  0.0000  0.0000  6 Gd 3.07
Gd  0.0000  0.0000  0.5000  6 Gd 3.07
Gd  0.0000  0.5000  0.0000  6 Gd 3.07
Gd  0.5000  0.0000  0.0000  6 Gd 3.07
Ge  0.3750  0.3750  0.3750  12 Gd 3.60, 4 Ge 3.76
Ge  0.6250  0.6250  0.6250  12 Gd 3.60, 4 Ge 3.76

## Properties
E above lowest polymorph ... 0.903 eV per atom
VASP energy ... -4.362 eV per atom

---

Entry 6:
## GdGe2 (PBE)

Data for a geometry-optimized GdGe2 structure.

Unit cell a=5.6591 b=5.6591 c=5.6591 alpha=60.00 beta=60.00 gamma=60.00
Closest atoms and distances in Å follow each position.
Element x y z (fractional)
Gd  0.1250  0.1250  0.1250  12 Ge 3.32, 4 Gd 3.47
Gd  0.8750  0.8750  0.8750  12 Ge 3.32, 4 Gd 3.47
Ge  0.0000  0.5000  0.5000  6 Ge 2.83
Ge  0.5000  0.0000  0.5000  6 Ge 2.83
Ge  0.5000  0.5000  0.0000  6 Ge 2.83
Ge  0.5000  0.5000  0.5000  6 Ge 2.83

## Properties
VASP energy ... -4.976 eV per atom

---

Entry 7:
## Gd2Ge (PBE)

Data for a geometry-optimized Gd2Ge structure.

Unit cell a=8.0191 b=8.0191 c=4.2238 alpha=90.00 beta=90.00 gamma=120.00
Closest atoms and distances in Å follow each position.
Element x y z (fractional)
Gd  0.0000  0.4051  0.0000  5 Ge 3.22-3.25, 6 Gd 3.38-3.55
Gd  0.0000  0.7338  0.5000  4 Ge 2.98-3.00
Gd  0.2662  0.2662  0.5000  4 Ge 2.98-3.00
Gd  0.4051  0.0000  0.0000  5 Ge 3.22-3.25, 6 Gd 3.38-3.55
Gd  0.5949  0.5949  0.0000  5 Ge 3.22-3.25, 6 Gd 3.38-3.55
Gd  0.7338  0.0000  0.5000  4 Ge 2.98-3.00
Ge  0.0000  0.0000  0.0000  9 Gd 3.00-3.25
Ge  0.3333  0.6667  0.5000  9 Gd 2.98-3.22
Ge  0.6667  0.3333  0.5000  9 Gd 2.98-3.22

## Properties
E above lowest polymorph ... 0.000 eV per atom
VASP energy ... -5.265 eV per atom

---

Entry 8:
## GdGe (PBE)

Data for a geometry-optimized GdGe structure.

Unit cell a=4.6291 b=4.6291 c=4.6291 alpha=60.00 beta=60.00 gamma=60.00
Closest atoms and distances in Å follow each position.
Element x y z (fractional)
Gd  0.0000  0.0000  0.0000  4 Ge 2.83
Ge  0.7500  0.7500  0.7500  4 Gd 2.83

## Properties
VASP energy ... -4.550 eV per atom

---

Question: Which value of VASP energy does entry 3 give?
Answer: -5.413 eV per atom

---

What did the fifth record say?
## Gd2Ge (PBE)

Data for a geometry-optimized Gd2Ge structure.

Unit cell a=6.1320 b=6.1320 c=6.1320 alpha=60.00 beta=60.00 gamma=60.00
Closest atoms and distances in Å follow each position.
Element x y z (fractional)
Gd  0.0000  0.0000  0.0000  6 Gd 3.07
Gd  0.0000  0.0000  0.5000  6 Gd 3.07
Gd  0.0000  0.5000  0.0000  6 Gd 3.07
Gd  0.5000  0.0000  0.0000  6 Gd 3.07
Ge  0.3750  0.3750  0.3750  12 Gd 3.60, 4 Ge 3.76
Ge  0.6250  0.6250  0.6250  12 Gd 3.60, 4 Ge 3.76

## Properties
E above lowest polymorph ... 0.903 eV per atom
VASP energy ... -4.362 eV per atom

---

Question: Among the records above, which one has the highest VASP energy?
Answer: number 5